Entry 1:
A plane-wave DFT calculation with PBE-GGA was carried out for a geometry-optimized Ce3Zn structure.

Summary:
- total magnetic moment (μB per cell) = 4.01
- calculated volume (Å³ per atom) = 24.3
- symmetry = Fm-3m, No. 225
- electronic total energy (eV/atom) = -4.730
- ρ (Mg/m³) = 8.29

abc: 5.162 5.162 5.162
angles: 60.00 60.00 60.00
Positions (direct):
Ce: 0.000 0.000 0.000
Ce: 0.250 0.250 0.250
Ce: 0.750 0.750 0.750
Zn: 0.500 0.500 0.500

Entry 2:
A plane-wave DFT calculation with PBE-GGA was carried out for a geometry-optimized Ce5Zn4 structure.

Summary:
- total magnetic moment (μB per cell) = 1.09
- calculated volume (Å³ per atom) = 22.3
- symmetry = C2/m, No. 12
- electronic total energy (eV/atom) = -4.016
- ρ (Mg/m³) = 7.96

abc: 5.820 5.820 8.919
angles: 120.33 120.33 53.65
Positions (direct):
Ce: 0.000 0.000 0.000
Ce: 0.104 0.104 0.444
Ce: 0.216 0.216 0.880
Ce: 0.784 0.784 0.120
Ce: 0.896 0.896 0.556
Zn: 0.363 0.363 0.341
Zn: 0.456 0.456 0.778
Zn: 0.544 0.544 0.222
Zn: 0.637 0.637 0.659

Entry 3:
A plane-wave DFT calculation with PBE-GGA was carried out for a geometry-optimized Ce3Zn structure.

Summary:
- total magnetic moment (μB per cell) = 0.00
- calculated volume (Å³ per atom) = 24.3
- symmetry = Imm2, No. 44
- electronic total energy (eV/atom) = -4.843
- ρ (Mg/m³) = 8.30

abc: 6.239 6.239 6.239
angles: 149.92 62.81 126.27
Positions (direct):
Ce: 0.000 0.000 0.000
Ce: 0.082 0.298 0.784
Ce: 0.514 0.298 0.216
Zn: 0.528 0.028 0.500